# LiP2WN6 | Alexandria | PBE | relaxed
# final energy	-314.213	eV per cell
# D(E_F)	0.548	states/eV per atom
# energy relative to the elements, uncorrected	-0.291	eV/atom
data_LiP2WN6
_cell_length_a 10.3560
_cell_length_b 11.0752
_cell_length_c 5.0452
_cell_angle_alpha 90.00
_cell_angle_beta 115.15
_cell_angle_gamma 90.00
_space_group_name_H-M_alt 'C 1 2/c 1'
_space_group_IT_number 15
loop_
_space_group_symop_operation_xyz
'x,y,z'
'-x,-y,-z'
'-x,y,-z+1/2'
'x,-y,z+1/2'
'x+1/2,y+1/2,z'
'-x+1/2,-y+1/2,-z'
'-x+1/2,y+1/2,-z+1/2'
'x+1/2,-y+1/2,z+1/2'
loop_
_atom_site_label
_atom_site_type_symbol
_atom_site_fract_x
_atom_site_fract_y
_atom_site_fract_z
Li1 Li 0.0000 0.0369 0.2500
P1 P 0.2217 0.4276 0.2384
W1 W 0.0000 0.2279 0.7500
N1 N 0.1102 0.1150 0.6471
N2 N 0.1152 0.3176 0.0637
N3 N 0.1979 0.4568 0.5280

# Li2YPN4 | Alexandria | PBE | relaxed
# final energy	-108.259	eV per cell
# D(E_F)	0.441	states/eV per atom
# energy relative to the elements, uncorrected	-0.641	eV/atom
data_Li2YPN4
_cell_length_a 5.2049
_cell_length_b 5.2049
_cell_length_c 6.3517
_cell_angle_alpha 90.00
_cell_angle_beta 90.00
_cell_angle_gamma 90.00
_space_group_name_H-M_alt 'I -4 2 m'
_space_group_IT_number 121
_space_group_name_Hall 'I -4 2'
loop_
_atom_site_label
_atom_site_type_symbol
_atom_site_fract_x
_atom_site_fract_y
_atom_site_fract_z
Li1 Li 0.0000 0.5000 0.2500
Y1 Y 0.0000 0.0000 0.0000
P1 P 0.0000 0.0000 0.5000
N1 N 0.1880 0.1880 0.6390

# Li2ZrPN4 | Alexandria | PBE | relaxed
# final energy	-227.505	eV per cell
# D(E_F)	0.486	states/eV per atom
# energy relative to the elements, uncorrected	-0.724	eV/atom
data_Li2ZrPN4
_cell_length_a 6.9481
_cell_length_b 11.9008
_cell_length_c 5.2955
_cell_angle_alpha 90.00
_cell_angle_beta 124.71
_cell_angle_gamma 90.00
_space_group_name_H-M_alt 'C 1 c 1'
_space_group_IT_number 9
loop_
_space_group_symop_operation_xyz
'x,y,z'
'x,-y,z+1/2'
'x+1/2,y+1/2,z'
'x+1/2,-y+1/2,z+1/2'
loop_
_atom_site_label
_atom_site_type_symbol
_atom_site_fract_x
_atom_site_fract_y
_atom_site_fract_z
Li1 Li 0.0000 0.0465 0.0000
Li2 Li 0.2535 0.2941 0.0818
Zr1 Zr 0.2483 0.1974 0.5510
P1 P 0.0397 0.4569 0.6425
N1 N 0.0242 0.3213 0.5786
N2 N 0.1912 0.4789 0.0225
N3 N 0.2763 0.0134 0.4742
N4 N 0.4930 0.2896 0.5728

# LiZrPN3 | Alexandria | PBE | relaxed
# final energy	-88.051	eV per cell
# D(E_F)	0.221	states/eV per atom
# energy relative to the elements, uncorrected	-0.530	eV/atom
data_LiZrPN3
_cell_length_a 6.3156
_cell_length_b 3.3636
_cell_length_c 7.6431
_cell_angle_alpha 90.00
_cell_angle_beta 97.00
_cell_angle_gamma 90.00
_space_group_name_H-M_alt 'P 1 21/m 1'
_space_group_IT_number 11
loop_
_space_group_symop_operation_xyz
'x,y,z'
'-x,-y,-z'
'-x,y+1/2,-z'
'x,-y+1/2,z'
loop_
_atom_site_label
_atom_site_type_symbol
_atom_site_fract_x
_atom_site_fract_y
_atom_site_fract_z
Li1 Li 0.1288 0.2500 0.1077
Zr1 Zr 0.3842 0.7500 0.8463
P1 P 0.0845 0.2500 0.6175
N1 N 0.0947 0.2500 0.8280
N2 N 0.1569 0.7500 0.5483
N3 N 0.4059 0.7500 0.1226